# 1
Material: NaCoIr2O8
Method: DFT, GGA+U
State: relaxed

## Properties
The value obtained for the electronic total energy is -5.90 eV per atom. As for the symmetry: No. 147.

Structure (POSCAR):
```
NaCoIr2O8
1.0
5.390 0.000 0.000
-2.695 4.668 0.000
0.000 0.000 6.065
Na Co Ir O
1 1 2 8
Direct
0.000 0.000 0.000 Na
0.000 0.000 0.500 Co
0.333 0.667 0.445 Ir
0.667 0.333 0.555 Ir
0.066 0.353 0.640 O
0.287 0.934 0.640 O
0.333 0.667 0.147 O
0.353 0.287 0.360 O
0.647 0.713 0.640 O
0.667 0.333 0.853 O
0.713 0.066 0.360 O
0.934 0.647 0.360 O
```

---

# 2
Material: Na3Co3IrO8
Method: DFT, GGA+U
State: relaxed

## Properties
The value obtained for the electronic total energy is -5.66 eV per atom. As for the symmetry: No. 166.

Structure (POSCAR):
```
Na3Co3IrO8
1.0
3.066 1.770 5.412
-3.066 1.770 5.412
0.000 -3.540 5.412
Na Co Ir O
3 3 1 8
Direct
0.000 0.500 0.500 Na
0.500 0.000 0.500 Na
0.500 0.500 0.000 Na
0.000 0.000 0.500 Co
0.000 0.500 0.000 Co
0.500 0.000 0.000 Co
0.500 0.500 0.500 Ir
0.225 0.225 0.225 O
0.253 0.722 0.722 O
0.278 0.278 0.747 O
0.278 0.747 0.278 O
0.722 0.253 0.722 O
0.722 0.722 0.253 O
0.747 0.278 0.278 O
0.775 0.775 0.775 O
```

---

# 3
Material: Na3Co2IrO6
Method: DFT, GGA+U
State: relaxed

## Properties
The value obtained for the electronic total energy is -5.56 eV per atom. As for the symmetry: No. 12.

Structure (POSCAR):
```
Na3Co2IrO6
1.0
2.626 -4.548 0.000
2.626 4.548 0.000
-1.753 0.000 5.190
Na Co Ir O
3 2 1 6
Direct
0.000 0.000 0.000 Na
0.335 0.665 0.000 Na
0.665 0.335 0.000 Na
0.167 0.833 0.500 Co
0.833 0.167 0.500 Co
0.500 0.500 0.500 Ir
0.090 0.436 0.309 O
0.218 0.218 0.691 O
0.436 0.090 0.309 O
0.564 0.910 0.691 O
0.782 0.782 0.309 O
0.910 0.564 0.691 O
```

---

# 4
Material: Na3CoIr3O8
Method: DFT, GGA+U
State: relaxed

## Properties
The value obtained for the electronic total energy is -6.00 eV per atom. As for the symmetry: No. 166.

Structure (POSCAR):
```
Na3CoIr3O8
1.0
3.121 1.802 5.254
-3.121 1.802 5.254
0.000 -3.604 5.254
Na Co Ir O
3 1 3 8
Direct
0.000 0.500 0.500 Na
0.500 0.000 0.500 Na
0.500 0.500 0.000 Na
0.500 0.500 0.500 Co
0.000 0.000 0.500 Ir
0.000 0.500 0.000 Ir
0.500 0.000 0.000 Ir
0.232 0.232 0.232 O
0.239 0.722 0.722 O
0.278 0.278 0.761 O
0.278 0.761 0.278 O
0.722 0.239 0.722 O
0.722 0.722 0.239 O
0.761 0.278 0.278 O
0.768 0.768 0.768 O
```